VASP calculation (PBE-GGA) on crystalline K2SrTlCl6 at its relaxed geometry.

Unit cell a=7.519 b=7.937 c=13.100 alpha=90.00 beta=124.20 gamma=90.00
Space group P2_1/c (No. 14)
Inequivalent atoms, fractional coordinates:
K  0.220  0.076  0.248 (multiplicity 4)
Sr  0.500  0.000  0.000 (multiplicity 2)
Tl  0.000  0.000  0.500 (multiplicity 2)
Cl  0.126  0.197  0.935 (multiplicity 4)
Cl  0.239  0.698  0.934 (multiplicity 4)
Cl  0.375  0.048  0.748 (multiplicity 4)

Calculated values
- Energy relative to the elements, uncorrected: -1722 meV/atom
- V: 647 Å³/cell